# Ho2PdAu | Alexandria | GGA-PBE | optimized geometry
data_Ho2PdAu
_chemical_formula_sum 'Ho2 Pd1 Au1'
_space_group_name_H-M_alt 'P 1'
_space_group_IT_number 1
_cell_length_a 7.6387
_cell_length_b 7.6387
_cell_length_c 7.6387
_cell_angle_alpha 30.11
_cell_angle_beta 30.11
_cell_angle_gamma 30.11
loop_
_space_group_symop_operation_xyz
'x,y,z'
loop_
_atom_site_label
_atom_site_type_symbol
_atom_site_fract_x
_atom_site_fract_y
_atom_site_fract_z
Ho1 Ho 0.0000 0.0000 0.0000
Ho2 Ho 0.1621 0.1621 0.1621
Pd1 Pd 0.7462 0.7462 0.7462
Au1 Au 0.5808 0.5808 0.5808
# D(E_F), states/eV/f.u.: 2.4
# Energy of formation, eV per atom: -0.7226
# Magnetic moment, μB per atom: 0.000